Arrangement w

Compound: ThScPd4
Source: the Alexandria database
Functional: PBE
Structure: relaxed

Cell and atoms, written as CIF:
```
data_ThScPd4
_chemical_formula_sum 'Th4 Sc4 Pd16'
_symmetry_space_group_name_H-M 'P n m a'
_symmetry_Int_Tables_number 62
_cell_length_a 7.9622
_cell_length_b 4.1142
_cell_length_c 14.0181
_cell_angle_alpha 90.00
_cell_angle_beta 90.00
_cell_angle_gamma 90.00
loop_
_symmetry_equiv_pos_as_xyz
'x,y,z'
'-x,-y,-z'
'-x+1/2,-y,z+1/2'
'x+1/2,y,-z+1/2'
'x+1/2,-y+1/2,-z+1/2'
'-x+1/2,y+1/2,z+1/2'
'-x,y+1/2,-z'
'x,-y+1/2,z'
loop_
_atom_site_label
_atom_site_fract_x
_atom_site_fract_y
_atom_site_fract_z
_atom_site_occupancy
Th1 0.2066 0.2500 0.0501 1
Sc1 0.1945 0.7500 0.2662 1
Pd1 0.0254 0.2500 0.8725 1
Pd2 0.0296 0.2500 0.5769 1
Pd3 0.0636 0.7500 0.7274 1
Pd4 0.2260 0.2500 0.3981 1
```

=====

Arrangement x

Compound: ThScPd4
Source: the Alexandria database
Functional: PBE
Structure: relaxed

Cell and atoms, written as CIF:
```
data_ThScPd4
_chemical_formula_sum 'Th4 Sc4 Pd16'
_symmetry_space_group_name_H-M 'F -4 3 m'
_symmetry_Int_Tables_number 216
_symmetry_space_group_name_Hall 'F -4 2 3'
_cell_length_a 7.6879
_cell_length_b 7.6879
_cell_length_c 7.6879
_cell_angle_alpha 90.00
_cell_angle_beta 90.00
_cell_angle_gamma 90.00
loop_
_atom_site_label
_atom_site_fract_x
_atom_site_fract_y
_atom_site_fract_z
_atom_site_occupancy
Th1 0.0000 0.0000 0.0000 1
Sc1 0.2500 0.2500 0.2500 1
Pd1 0.1243 0.1243 0.6243 1
```

=====

Best to worst by energy: arrangement w, arrangement x.

=====

Arrangement w

Compound: ThScPd3
Source: the Alexandria database
Functional: PBE
Structure: relaxed

Cell and atoms, written as CIF:
```
data_ThScPd3
_chemical_formula_sum 'Th2 Sc2 Pd6'
_symmetry_space_group_name_H-M 'P m m n'
_symmetry_Int_Tables_number 59
_cell_length_a 4.1488
_cell_length_b 5.7498
_cell_length_c 8.8616
_cell_angle_alpha 90.00
_cell_angle_beta 90.00
_cell_angle_gamma 90.00
loop_
_symmetry_equiv_pos_as_xyz
'x,y,z'
'-x,-y,-z'
'-x+1/2,-y+1/2,z'
'x+1/2,y+1/2,-z'
'x+1/2,-y,-z'
'-x+1/2,y,z'
'-x,y+1/2,-z'
'x,-y+1/2,z'
loop_
_atom_site_label
_atom_site_fract_x
_atom_site_fract_y
_atom_site_fract_z
_atom_site_occupancy
Th1 0.2500 0.2500 0.1141 1
Sc1 0.2500 0.7500 0.4522 1
Pd1 0.2500 0.0080 0.7078 1
Pd2 0.2500 0.7500 0.1335 1
```

=====

Arrangement x

Compound: ThScPd3
Source: the Alexandria database
Functional: PBE
Structure: relaxed

Cell and atoms, written as CIF:
```
data_ThScPd3
_chemical_formula_sum 'Th4 Sc4 Pd12'
_symmetry_space_group_name_H-M 'P n m a'
_symmetry_Int_Tables_number 62
_cell_length_a 7.8705
_cell_length_b 7.7121
_cell_length_c 7.0711
_cell_angle_alpha 90.00
_cell_angle_beta 90.00
_cell_angle_gamma 90.00
loop_
_symmetry_equiv_pos_as_xyz
'x,y,z'
'-x,-y,-z'
'-x+1/2,-y,z+1/2'
'x+1/2,y,-z+1/2'
'x+1/2,-y+1/2,-z+1/2'
'-x+1/2,y+1/2,z+1/2'
'-x,y+1/2,-z'
'x,-y+1/2,z'
loop_
_atom_site_label
_atom_site_fract_x
_atom_site_fract_y
_atom_site_fract_z
_atom_site_occupancy
Th1 0.0923 0.2500 0.0095 1
Sc1 0.0000 0.0000 0.5000 1
Pd1 0.2090 0.5715 0.7996 1
Pd2 0.2427 0.7500 0.1452 1
```

=====

Best to worst by energy: arrangement w, arrangement x.

=====

Arrangement w

Compound: ThScPd
Source: the Alexandria database
Functional: PBE
Structure: relaxed

Cell and atoms, written as CIF:
```
data_ThScPd
_chemical_formula_sum 'Th2 Sc2 Pd2'
_symmetry_space_group_name_H-M 'I 4 m m'
_symmetry_Int_Tables_number 107
_symmetry_space_group_name_Hall 'I 4 -2'
_cell_length_a 3.4718
_cell_length_b 3.4718
_cell_length_c 11.7890
_cell_angle_alpha 90.00
_cell_angle_beta 90.00
_cell_angle_gamma 90.00
loop_
_atom_site_label
_atom_site_fract_x
_atom_site_fract_y
_atom_site_fract_z
_atom_site_occupancy
Th1 0.0000 0.0000 0.0000 1
Sc1 0.0000 0.0000 0.2917 1
Pd1 0.0000 0.0000 0.6689 1
```

=====

Arrangement x

Compound: ThScPd
Source: the Alexandria database
Functional: PBE
Structure: relaxed

Cell and atoms, written as CIF:
```
data_ThScPd
_chemical_formula_sum 'Th2 Sc2 Pd2'
_symmetry_space_group_name_H-M 'P 4/n m m'
_symmetry_Int_Tables_number 129
_cell_length_a 4.5219
_cell_length_b 4.5219
_cell_length_c 7.1550
_cell_angle_alpha 90.00
_cell_angle_beta 90.00
_cell_angle_gamma 90.00
loop_
_symmetry_equiv_pos_as_xyz
'x,y,z'
'-x,-y,-z'
'-y+1/2,x,z'
'y+1/2,-x,-z'
'-x+1/2,-y+1/2,z'
'x+1/2,y+1/2,-z'
'y,-x+1/2,z'
'-y,x+1/2,-z'
'x+1/2,-y,-z'
'-x+1/2,y,z'
'-y,-x,-z'
'y,x,z'
'-x,y+1/2,-z'
'x,-y+1/2,z'
'y+1/2,x+1/2,-z'
'-y+1/2,-x+1/2,z'
loop_
_atom_site_label
_atom_site_fract_x
_atom_site_fract_y
_atom_site_fract_z
_atom_site_occupancy
Th1 0.2500 0.2500 0.1250 1
Sc1 0.2500 0.7500 0.5000 1
Pd1 0.2500 0.2500 0.7341 1
```

=====

Arrangement y

Compound: ThScPd
Source: the Alexandria database
Functional: PBE
Structure: relaxed

Cell and atoms, written as CIF:
```
data_ThScPd
_chemical_formula_sum 'Th8 Sc8 Pd8'
_symmetry_space_group_name_H-M 'F m m m'
_symmetry_Int_Tables_number 69
_symmetry_space_group_name_Hall '-F 2 2'
_cell_length_a 5.9177
_cell_length_b 9.7032
_cell_length_c 10.0511
_cell_angle_alpha 90.00
_cell_angle_beta 90.00
_cell_angle_gamma 90.00
loop_
_atom_site_label
_atom_site_fract_x
_atom_site_fract_y
_atom_site_fract_z
_atom_site_occupancy
Th1 0.0000 0.1668 0.0000 1
Sc1 0.0000 0.0000 0.3340 1
Pd1 0.2500 0.2500 0.2500 1
```

=====

Best to worst by energy: arrangement x, arrangement y, arrangement w.